A plane-wave DFT calculation with PBE was carried out for a relaxed ZnH6O4 crystal.

```
data_ZnH6O4
_chemical_formula_sum 'Zn2 H12 O8'
_symmetry_space_group_name_H-M 'P 42/n m c'
_symmetry_Int_Tables_number 137
_cell_length_a 5.260
_cell_length_b 5.260
_cell_length_c 4.409
_cell_angle_alpha 90.00
_cell_angle_beta 90.00
_cell_angle_gamma 90.00
loop_
_symmetry_equiv_pos_as_xyz
'x,y,z'
'-x,-y,-z'
'-y+1/2,x,z+1/2'
'y+1/2,-x,-z+1/2'
'-x+1/2,-y+1/2,z'
'x+1/2,y+1/2,-z'
'y,-x+1/2,z+1/2'
'-y,x+1/2,-z+1/2'
'x+1/2,-y,-z'
'-x+1/2,y,z'
'-y,-x,-z+1/2'
'y,x,z+1/2'
'-x,y+1/2,-z'
'x,-y+1/2,z'
'y+1/2,x+1/2,-z+1/2'
'-y+1/2,-x+1/2,z+1/2'
loop_
_atom_site_label
_atom_site_fract_x
_atom_site_fract_y
_atom_site_fract_z
_atom_site_occupancy
Zn1 0.250 0.750 0.250 1
H1 0.088 0.588 0.750 1
H2 0.250 0.250 0.082 1
O1 0.014 0.250 0.090 1
```

Output
Final energy (eV/f.u.): -50.49
Calculated density (Mg/m³): 3.7